# Ac6Co2RhBr3

Crystalline Ac6Co2RhBr3 at its relaxed geometry (PBE, the Alexandria database).

Cell and atoms, written as CIF:
```
data_Ac6Co2RhBr3
_chemical_formula_sum 'Ac6 Co2 Rh1 Br3'
_cell_length_a 7.386
_cell_length_b 7.386
_cell_length_c 8.629
_cell_angle_alpha 98.18
_cell_angle_beta 98.18
_cell_angle_gamma 120.00
_symmetry_space_group_name_H-M 'P 1'
_symmetry_Int_Tables_number 1
loop_
_symmetry_equiv_pos_as_xyz
'x,y,z'
loop_
_atom_site_label
_atom_site_fract_x
_atom_site_fract_y
_atom_site_fract_z
Ac1 0.936 0.596 0.808
Ac2 0.723 0.723 0.192
Ac3 0.064 0.404 0.192
Ac4 0.596 0.936 0.808
Ac5 0.277 0.277 0.808
Ac6 0.404 0.064 0.192
Co1 0.333 0.667 0.000
Co2 0.667 0.333 0.000
Rh1 0.000 0.000 0.000
Br1 0.168 0.832 0.500
Br2 0.832 0.168 0.500
Br3 0.500 0.500 0.500
```

Results
The formation energy (no corrections) is -891 meV/atom. The calculation puts the uncorrected energy at -0.1896 hartree per atom.